Entry 1:
Material: Sr2SnIr
Method: DFT, PBE-GGA
State: relaxed

Cell lengths 8.2895, 8.2895, 8.2895 Å; angles 95.44, 95.44, 144.13 degrees
Fractional coordinates of all 8 atoms:
Sr (0.3750, 0.0455, 0.1705)
Sr (0.7955, 0.6250, 0.6705)
Sr (0.8750, 0.2045, 0.8295)
Sr (0.9545, 0.1250, 0.3295)
Sn (0.2500, 0.7500, 0.5000)
Sn (0.5000, 0.5000, 0.0000)
Ir (0.0000, 0.0000, 0.0000)
Ir (0.7500, 0.2500, 0.5000)

Properties
energy relative to the elements = -0.283 eV/atom
space group = I-42d
total magnetic moment = 0.00 μB per formula unit

---

Entry 2:
Material: ZnSb2N
Method: DFT, PBE-GGA
State: relaxed

Cell lengths 4.6842, 4.6842, 4.6842 Å; angles 60.00, 60.00, 60.00 degrees
Fractional coordinates of all 4 atoms:
Zn (0.0000, 0.0000, 0.0000)
Sb (0.2500, 0.2500, 0.2500)
Sb (0.7500, 0.7500, 0.7500)
N (0.5000, 0.5000, 0.5000)

Properties
raw formation energy = 1.043 eV/atom
distance to the lowest polymorph of the same formula = 556 meV/atom
space group = Fm-3m
total magnetic moment = 0.00 μB per formula unit

---

Entry 3:
Material: CdHgPb2W
Method: DFT, PBE-GGA
State: relaxed

Cell lengths 5.6897, 5.6897, 5.1881 Å; angles 90.00, 90.00, 90.00 degrees
Fractional coordinates of all 5 atoms:
Cd (0.0000, 0.0000, 0.0000)
Hg (0.0000, 0.0000, 0.5000)
Pb (0.0000, 0.5000, 0.5000)
Pb (0.5000, 0.0000, 0.5000)
W (0.5000, 0.5000, 0.0000)

Properties
energy relative to the elements = 1.555 eV/atom
space group = P4/mmm
total magnetic moment = 4.10 μB per formula unit